Entry 1:
# PBE-GGA CaAc2H, relaxed
# E above lowest polymorph (kJ/mol of atoms): 0.6
# Symmetry: No. 166
# DFT total energy (eV/atom): -3.50
data_CaAc2H
_chemical_formula_sum 'Ca1 Ac2 H1'
_space_group_name_H-M_alt 'P 1'
_space_group_IT_number 1
_cell_length_a 3.9823
_cell_length_b 3.9823
_cell_length_c 10.0165
_cell_angle_alpha 78.53
_cell_angle_beta 78.53
_cell_angle_gamma 60.00
loop_
_space_group_symop_operation_xyz
'x,y,z'
loop_
_atom_site_label
_atom_site_type_symbol
_atom_site_fract_x
_atom_site_fract_y
_atom_site_fract_z
H1 H 0.0000 0.0000 0.0000
Ac1 Ac 0.2807 0.2807 0.1579
Ac2 Ac 0.7193 0.7193 0.8421
Ca1 Ca 0.5000 0.5000 0.5000

---

Entry 2:
# PBE-GGA Ca5Ac3H12, relaxed
# Symmetry: No. 230
# DFT total energy (eV/atom): -3.53
data_Ca5Ac3H12
_chemical_formula_sum 'Ca20 Ac12 H48'
_space_group_name_H-M_alt 'P 1'
_space_group_IT_number 1
_cell_length_a 12.1143
_cell_length_b 12.1143
_cell_length_c 12.1143
_cell_angle_alpha 109.47
_cell_angle_beta 109.47
_cell_angle_gamma 109.47
loop_
_space_group_symop_operation_xyz
'x,y,z'
loop_
_atom_site_label
_atom_site_type_symbol
_atom_site_fract_x
_atom_site_fract_y
_atom_site_fract_z
Ac1 Ac 0.7500 0.3750 0.1250
Ac2 Ac 0.8750 0.7500 0.1250
Ac3 Ac 0.3750 0.7500 0.6250
Ac4 Ac 0.2500 0.1250 0.3750
Ac5 Ac 0.8750 0.1250 0.2500
Ac6 Ac 0.3750 0.6250 0.2500
Ac7 Ac 0.6250 0.3750 0.7500
Ac8 Ac 0.1250 0.8750 0.7500
Ac9 Ac 0.7500 0.8750 0.6250
Ac10 Ac 0.6250 0.2500 0.3750
Ac11 Ac 0.1250 0.2500 0.8750
Ac12 Ac 0.2500 0.6250 0.8750
Ca1 Ca 0.1250 0.3750 0.2500
Ca2 Ca 0.0000 0.5000 0.0000
Ca3 Ca 0.0000 0.0000 0.0000
Ca4 Ca 0.3750 0.2500 0.1250
Ca5 Ca 0.5000 0.0000 0.5000
Ca6 Ca 0.5000 0.5000 0.0000
Ca7 Ca 0.1250 0.7500 0.3750
Ca8 Ca 0.7500 0.1250 0.8750
Ca9 Ca 0.7500 0.6250 0.3750
Ca10 Ca 0.3750 0.1250 0.7500
Ca11 Ca 0.6250 0.8750 0.2500
Ca12 Ca 0.5000 0.5000 0.5000
Ca13 Ca 0.5000 0.0000 0.0000
Ca14 Ca 0.0000 0.0000 0.5000
Ca15 Ca 0.2500 0.3750 0.6250
Ca16 Ca 0.2500 0.8750 0.1250
Ca17 Ca 0.0000 0.5000 0.5000
Ca18 Ca 0.8750 0.2500 0.6250
Ca19 Ca 0.6250 0.7500 0.8750
Ca20 Ca 0.8750 0.6250 0.7500
H1 H 0.7181 0.1386 0.0528
H2 H 0.3347 0.5528 0.4143
H3 H 0.9472 0.3614 0.2819
H4 H 0.5528 0.2181 0.1386
H5 H 0.5795 0.7181 0.6653
H6 H 0.9472 0.5857 0.1653
H7 H 0.3347 0.7819 0.4205
H8 H 0.0857 0.9205 0.1386
H9 H 0.5857 0.9472 0.6653
H10 H 0.7181 0.5795 0.1653
H11 H 0.7819 0.4472 0.3614
H12 H 0.8347 0.9143 0.0528
H13 H 0.1386 0.7181 0.5528
H14 H 0.3614 0.4143 0.0795
H15 H 0.0795 0.9143 0.3614
H16 H 0.4205 0.1386 0.5857
H17 H 0.0795 0.1653 0.2181
H18 H 0.4472 0.6653 0.0857
H19 H 0.8347 0.9205 0.2819
H20 H 0.1386 0.4205 0.0857
H21 H 0.3614 0.9472 0.7819
H22 H 0.5857 0.6386 0.4205
H23 H 0.9143 0.8347 0.5528
H24 H 0.7819 0.3347 0.9205
H25 H 0.4143 0.3614 0.5795
H26 H 0.0857 0.1653 0.4472
H27 H 0.2181 0.6653 0.0795
H28 H 0.1653 0.0795 0.7181
H29 H 0.6386 0.0528 0.2181
H30 H 0.8614 0.5795 0.9143
H31 H 0.5528 0.3347 0.9143
H32 H 0.5795 0.8614 0.4143
H33 H 0.9205 0.8347 0.7819
H34 H 0.9205 0.0857 0.6386
H35 H 0.8614 0.2819 0.4472
H36 H 0.1653 0.0857 0.9472
H37 H 0.6386 0.5857 0.9205
H38 H 0.4143 0.0528 0.3347
H39 H 0.2819 0.4205 0.8347
H40 H 0.2181 0.5528 0.6386
H41 H 0.9143 0.0795 0.8614
H42 H 0.6653 0.2181 0.5795
H43 H 0.4472 0.7819 0.8614
H44 H 0.0528 0.4143 0.8347
H45 H 0.4205 0.2819 0.3347
H46 H 0.0528 0.6386 0.7181
H47 H 0.6653 0.4472 0.5857
H48 H 0.2819 0.8614 0.9472

---

Entry 3:
# PBE-GGA Ca4Ac2In3H2, relaxed
# Symmetry: No. 139
# DFT total energy (eV/atom): -3.21
data_Ca4Ac2In3H2
_chemical_formula_sum 'Ca4 Ac2 In3 H2'
_space_group_name_H-M_alt 'P 1'
_space_group_IT_number 1
_cell_length_a 5.0330
_cell_length_b 5.0330
_cell_length_c 13.1480
_cell_angle_alpha 101.03
_cell_angle_beta 101.03
_cell_angle_gamma 90.00
loop_
_space_group_symop_operation_xyz
'x,y,z'
loop_
_atom_site_label
_atom_site_type_symbol
_atom_site_fract_x
_atom_site_fract_y
_atom_site_fract_z
Ca1 Ca 0.4209 0.9209 0.8418
Ca2 Ca 0.9209 0.4209 0.8418
Ca3 Ca 0.0791 0.5791 0.1582
Ca4 Ca 0.5791 0.0791 0.1582
Ac1 Ac 0.2999 0.2999 0.5999
Ac2 Ac 0.7001 0.7001 0.4001
In1 In 0.0000 0.0000 0.0000
In2 In 0.1654 0.1654 0.3309
In3 In 0.8346 0.8346 0.6691
H1 H 0.4027 0.4027 0.8054
H2 H 0.5973 0.5973 0.1946

---

Entry 4:
# PBE-GGA Ca2AcH8Ir, relaxed
# Symmetry: No. 164
# DFT total energy (eV/atom): -4.12
data_Ca2AcH8Ir
_chemical_formula_sum 'Ca2 Ac1 H8 Ir1'
_space_group_name_H-M_alt 'P 1'
_space_group_IT_number 1
_cell_length_a 4.8058
_cell_length_b 4.8058
_cell_length_c 7.4625
_cell_angle_alpha 90.00
_cell_angle_beta 90.00
_cell_angle_gamma 120.00
loop_
_space_group_symop_operation_xyz
'x,y,z'
loop_
_atom_site_label
_atom_site_type_symbol
_atom_site_fract_x
_atom_site_fract_y
_atom_site_fract_z
Ca1 Ca 0.6667 0.3333 0.1459
Ca2 Ca 0.3333 0.6667 0.8541
Ac1 Ac 0.0000 0.0000 0.5000
H1 H 0.8387 0.6775 0.8550
H2 H 0.3225 0.1613 0.8550
H3 H 0.8387 0.1613 0.8550
H4 H 0.1613 0.3225 0.1450
H5 H 0.6775 0.8387 0.1450
H6 H 0.1613 0.8387 0.1450
H7 H 0.6667 0.3333 0.4452
H8 H 0.3333 0.6667 0.5548
Ir1 Ir 0.0000 0.0000 0.0000

---

> Look up the DFT total energy of the first one.

-3.50 eV/atom

---

> Look up the DFT total energy of the third one.

-3.21 eV/atom

---

> DFT total energy of number 1 (CaAc2H)?

-3.50 eV/atom

---

> Look up the DFT total energy of the second one.

-3.53 eV/atom